1.
The following is a DFT calculation (GGA-PBE) of an optimized crystal structure of Mg2ZnCd.

Structure (POSCAR):
```
Mg2ZnCd
1.0
-2.1824 -0.3822 -4.8628
2.5027 -3.6971 -2.9366
-2.0740 -0.0697 4.9244
Cd Mg Zn
1 2 1
Direct
0.7500 0.2500 0.5000
0.2500 0.7500 0.5000
0.0000 0.0000 0.0000
0.5000 0.5000 0.0000
```

Calculated values
SG: I-4m2 (119)
Excess energy over the best structure of this formula in the dataset, meV per atom: 50

2.
The following is a DFT calculation (GGA-PBE) of an optimized crystal structure of Mg5ZnCd6.

Structure (POSCAR):
```
Mg5ZnCd6
1.0
-1.2257 1.3096 -4.0144
7.3849 -3.6299 -1.0519
-5.5399 -5.7713 2.1958
Mg Cd Zn
5 6 1
Direct
0.0000 0.6688 0.3312
0.5000 0.5000 0.5000
0.5000 0.1566 0.8434
0.0000 0.3312 0.6688
0.5000 0.8434 0.1566
0.7526 0.2519 0.2519
0.2509 0.0837 0.4164
0.2474 0.7481 0.7481
0.7491 0.5836 0.9163
0.2509 0.4164 0.0837
0.7491 0.9163 0.5836
0.0000 0.0000 0.0000
```

Calculated values
SG: C2/m (12)

3.
The following is a DFT calculation (GGA-PBE) of an optimized crystal structure of Mg2ZnCd.

Structure (POSCAR):
```
Mg2ZnCd
1.0
-2.5932 -1.6120 -0.7603
-1.1429 -0.4059 4.7588
-2.6508 4.3881 -0.2623
Mg Zn Cd
2 1 1
Direct
0.5000 0.5000 0.3667
0.5000 0.0000 0.9935
0.0000 0.0000 0.4943
0.0000 0.5000 0.8530
```

Calculated values
SG: Pmm2 (25)
Excess energy over the best structure of this formula in the dataset, meV per atom: 9

Short version: total moment = 0.00 0.00 0.00 μB/f.u., in the order given.
Short version: formation enthalpy at 0 K = -0.038 -0.064 -0.079 eV per atom, in the order given.